! GGA+U SrCrF3, optimized geometry; values from VASP
! ΔE to the lowest computed polymorph   5.7 meV/atom
! Spin magnetization   4.68 μB/cell
! Space group   Pm-3m
! N(E_F)   0.32 states/eV per atom
&SYSTEM
  ibrav = 0, nat = 5, ntyp = 3
/
ATOMIC_SPECIES
Sr 87.62 Sr.upf
Cr 52.00 Cr.upf
F 19.00 F.upf
CELL_PARAMETERS angstrom
4.3631 0.0000 0.0000
0.0000 4.3631 0.0000
0.0000 0.0000 4.3631
ATOMIC_POSITIONS crystal
Sr 0.0000 0.0000 0.0000
Cr 0.5000 0.5000 0.5000
F 0.0000 0.5000 0.5000
F 0.5000 0.0000 0.5000
F 0.5000 0.5000 0.0000